DFT (GGA-PBE) results for AlInSe2 after structural relaxation.

a b c (Å): 17.8937 3.9215 6.5413
angles (deg): 90.00 100.20 90.00
Fractional positions:
Al1 0.0000 0.0000 0.0000
Al2 0.1344 0.0000 0.5664
Al3 0.5000 0.5000 0.0000
Al4 0.6344 0.5000 0.5664
In1 0.2513 0.5000 0.1640
In2 0.3798 0.0000 0.5067
In3 0.7513 0.0000 0.1640
In4 0.8798 0.5000 0.5067
Se1 0.0063 0.0000 0.6320
Se2 0.1285 0.0000 0.1920
Se3 0.2091 0.5000 0.6947
Se4 0.4263 0.0000 0.0590
Se5 0.5063 0.5000 0.6320
Se6 0.6285 0.5000 0.1920
Se7 0.7091 0.0000 0.6947
Se8 0.9263 0.5000 0.0590

final energy: -64.3 eV for the cell shown
symmetry: Cm
total magnetic moment: 0.00 μB/atom